[1]
The following is a DFT calculation (PBE) of an optimized crystal structure of Pr3NdTm3Te8.

The structure in POSCAR format:
```
Pr3NdTm3Te8
1.0
-1.883 1.714 -8.412
4.696 -7.130 2.088
-8.598 0.338 1.993
Te Nd Pr Tm
8 1 3 3
direct
0.729 0.988 0.746 Te
0.271 0.012 0.254 Te
0.259 0.517 0.746 Te
0.259 0.988 0.746 Te
0.744 0.488 0.732 Te
0.741 0.483 0.254 Te
0.256 0.512 0.268 Te
0.741 0.012 0.254 Te
0.000 0.000 0.500 Nd
0.000 0.500 0.000 Pr
0.500 0.500 0.000 Pr
0.000 0.000 0.000 Pr
0.000 0.500 0.500 Tm
0.500 0.500 0.500 Tm
0.500 0.000 0.500 Tm
```

## Properties
Total magnetization   0.00 μB/cell
Total energy   -5.233 eV/atom
V   32.24 A^3/atom
E_form (uncorrected)   -1388.9 meV per atom
Space-group type   R-3m
ρ   7.19 g/cm³

***

[2]
The following is a DFT calculation (PBE) of an optimized crystal structure of PrNd3Tm2Te6.

The structure in POSCAR format:
```
PrNd3Tm2Te6
1.0
-2.005 2.876 -2.632
-5.493 2.324 6.724
8.489 4.660 2.278
Nd Te Tm Pr
3 6 2 1
direct
0.158 0.832 0.317 Nd
0.500 0.500 0.000 Nd
0.842 0.168 0.683 Nd
0.328 0.425 0.657 Te
0.671 0.097 0.343 Te
0.993 0.744 0.986 Te
0.007 0.256 0.014 Te
0.329 0.903 0.657 Te
0.672 0.575 0.343 Te
0.835 0.670 0.671 Tm
0.165 0.330 0.329 Tm
0.500 0.000 0.000 Pr
```

## Properties
Total magnetization   0.00 μB/cell
Total energy   -5.252 eV/atom
V   30.97 A^3/atom
E_form (uncorrected)   -1345.7 meV per atom
Space-group type   C2/m
ρ   7.49 g/cm³

***

[3]
The following is a DFT calculation (PBE) of an optimized crystal structure of Pr2NdTm3Te6.

The structure in POSCAR format:
```
Pr2NdTm3Te6
1.0
-3.317 -0.888 -2.623
5.139 -5.888 -4.507
-2.654 -4.574 8.465
Tm Te Nd Pr
3 6 1 2
direct
0.500 0.500 0.000 Tm
0.167 0.834 0.335 Tm
0.833 0.166 0.665 Tm
0.005 0.741 0.009 Te
0.338 0.405 0.676 Te
0.995 0.259 0.991 Te
0.662 0.595 0.324 Te
0.670 0.072 0.340 Te
0.330 0.928 0.660 Te
0.500 0.000 0.000 Nd
0.167 0.334 0.334 Pr
0.833 0.666 0.666 Pr
```

## Properties
Total magnetization   0.00 μB/cell
Total energy   -5.197 eV/atom
V   30.36 A^3/atom
E_form (uncorrected)   -1314.0 meV per atom
Space-group type   C2/m
ρ   7.74 g/cm³

***

[4]
The following is a DFT calculation (PBE) of an optimized crystal structure of Pr3Nd3TmTe8.

The structure in POSCAR format:
```
Pr3Nd3TmTe8
1.0
-0.966 -5.437 7.079
-2.450 -2.794 -8.173
8.714 1.019 1.971
Te Tm Nd Pr
8 1 3 3
direct
0.246 0.492 0.744 Te
0.246 0.998 0.744 Te
0.753 0.998 0.744 Te
0.754 0.002 0.256 Te
0.247 0.002 0.256 Te
0.251 0.502 0.252 Te
0.754 0.508 0.256 Te
0.749 0.498 0.748 Te
0.000 0.000 0.500 Tm
0.000 0.500 0.500 Nd
0.500 0.500 0.500 Nd
0.500 0.000 0.500 Nd
0.500 0.500 0.000 Pr
0.000 0.000 0.000 Pr
0.000 0.500 0.000 Pr
```

## Properties
Total magnetization   0.00 μB/cell
Total energy   -5.324 eV/atom
V   34.20 A^3/atom
E_form (uncorrected)   -1441.0 meV per atom
Space-group type   R-3m
ρ   6.62 g/cm³